[1]
Compound: Pm2Dy3Ho6Tm
Source: Alexandria via LeMat-Bulk
Functional: GGA-PBE
Structure: optimized geometry

The space group is C2/m (No. 12) and the conventional cell measures 6.141, 10.628 and 11.746 Å, with angles of 90.00, 99.99 and 90.00 degrees. The asymmetric unit holds Pm at (0.000, 0.166, 0.000), Dy at (0.000, 0.000, 0.500), Dy at (0.000, 0.334, 0.500), Ho at (0.248, 0.500, 0.748), Ho at (0.250, 0.166, 0.749) and Tm at (0.000, 0.500, 0.000).

Its energy of formation from the pure elements is 17.2 meV/atom. The calculated volume is 755.0 Å³ per cell. The value obtained for the uncorrected energy is -4.587 eV/atom. The calculation puts the magnetic moment at 0.00 μB/f.u.



[2]
Compound: Dy5GaCu4
Source: Alexandria via LeMat-Bulk
Functional: GGA-PBE
Structure: optimized geometry

The space group is P4/mmm (No. 123) and the conventional cell measures 3.471, 3.471 and 17.630 Å, with angles of 90.00, 90.00 and 90.00 degrees. The asymmetric unit holds Dy at (0.000, 0.000, 0.000), Dy at (0.000, 0.000, 0.197), Dy at (0.000, 0.000, 0.395), Ga at (0.500, 0.500, 0.500), Cu at (0.500, 0.500, 0.098) and Cu at (0.500, 0.500, 0.296).

Its energy of formation from the pure elements is -315.2 meV/atom. The calculated volume is 212.4 Å³ per cell. The value obtained for the uncorrected energy is -4.557 eV/atom. The calculation puts the magnetic moment at 0.00 μB/f.u.



[3]
Compound: Lu2NiRh
Source: Alexandria via LeMat-Bulk
Functional: GGA-PBE
Structure: optimized geometry

The space group is P4/mmm (No. 123) and the conventional cell measures 3.322, 3.322 and 6.696 Å, with angles of 90.00, 90.00 and 90.00 degrees. The asymmetric unit holds Lu at (0.000, 0.000, 0.248), Ni at (0.500, 0.500, 0.000) and Rh at (0.500, 0.500, 0.500).

Its energy of formation from the pure elements is -737.8 meV/atom. The calculated volume is 73.9 Å³ per cell. The value obtained for the uncorrected energy is -6.282 eV/atom. The calculation puts the magnetic moment at 0.00 μB/f.u.



[4]
Compound: Ho3B4PbO12
Source: Alexandria via LeMat-Bulk
Functional: GGA-PBE
Structure: optimized geometry

The space group is R32 (No. 155, hexagonal axes) and the conventional cell measures 10.2333, 10.2333 and 8.5154 Å, with angles of 90.00, 90.00 and 120.00 degrees. The asymmetric unit holds Ho at (0.0000, 0.5391, 0.0000), B at (0.0000, 0.0000, 0.5000), B at (0.0000, 0.4631, 0.5000), Pb at (0.0000, 0.0000, 0.0000), O at (0.0000, 0.5974, 0.5000), O at (0.0000, 0.8646, 0.5000) and O at (0.0062, 0.2046, 0.1740).

The uncorrected formation energy is -54.75 eV per formula unit. The calculated volume is 772.3 Å³ per cell. The value obtained for the uncorrected energy is -7.920 eV/atom. The calculation puts the magnetic moment at 0.00 μB/f.u.



[5]
Compound: Nd8Sb4Te3
Source: Alexandria via LeMat-Bulk
Functional: GGA-PBE
Structure: optimized geometry

The space group is C2/m (No. 12) and the conventional cell measures 12.669, 12.686 and 8.954 Å, with angles of 90.00, 134.88 and 90.00 degrees. The asymmetric unit holds Nd at (0.000, 0.247, 0.000), Nd at (0.000, 0.252, 0.500), Nd at (0.247, 0.000, 0.496), Nd at (0.249, 0.500, 0.994), Sb at (0.000, 0.000, 0.000), Sb at (0.000, 0.500, 0.500), Sb at (0.250, 0.250, 0.500), Te at (0.000, 0.500, 0.000) and Te at (0.250, 0.250, 0.000).

The uncorrected formation energy is -17.82 eV per formula unit. The calculated volume is 1019.8 Å³ per cell. The value obtained for the uncorrected energy is -5.458 eV/atom. The calculation puts the magnetic moment at 0.00 μB/f.u.



[6]
Compound: CdSb2Cl
Source: Alexandria via LeMat-Bulk
Functional: GGA-PBE
Structure: optimized geometry

The space group is Cmmm (No. 65) and the conventional cell measures 4.355, 5.365 and 8.695 Å, with angles of 90.00, 90.00 and 90.00 degrees. The asymmetric unit holds Cd at (0.000, 0.000, 0.000), Sb at (0.000, 0.500, 0.237) and Cl at (0.000, 0.000, 0.500).

The uncorrected formation energy is -0.01 eV per formula unit. The calculated volume is 203.2 Å³ per cell. The value obtained for the uncorrected energy is -2.753 eV/atom. The calculation puts the magnetic moment at 0.00 μB/f.u.



[7]
Compound: Pu5IrRh2
Source: Alexandria via LeMat-Bulk
Functional: GGA-PBE
Structure: optimized geometry

The space group is Cm (No. 8) and the conventional cell measures 6.777, 9.758 and 5.777 Å, with angles of 90.00, 123.07 and 90.00 degrees. The asymmetric unit holds Pu at (0.000, 0.000, 0.000), Pu at (0.022, 0.500, 0.019), Pu at (0.092, 0.500, 0.561), Pu at (0.248, 0.257, 0.511), Ir at (0.053, 0.000, 0.510) and Rh at (0.251, 0.237, 0.025).

Its energy of formation from the pure elements is -272.8 meV/atom. The calculated volume is 320.2 Å³ per cell. The value obtained for the uncorrected energy is -12.176 eV/atom. The calculation puts the magnetic moment at 4.21 μB/f.u.



[8]
Compound: AlMoAu2
Source: Alexandria via LeMat-Bulk
Functional: GGA-PBE
Structure: optimized geometry

The space group is Cmmm (No. 65) and the conventional cell measures 5.603, 8.474 and 2.810 Å, with angles of 90.00, 90.00 and 90.00 degrees. The asymmetric unit holds Al at (0.000, 0.000, 0.000), Mo at (0.000, 0.500, 0.000) and Au at (0.250, 0.250, 0.500).

Its energy of formation from the pure elements is 60.0 meV/atom. The calculated volume is 133.4 Å³ per cell. The value obtained for the uncorrected energy is -5.222 eV/atom. The calculation puts the magnetic moment at 0.00 μB/f.u.



- uncorrected energy of number 6 (CdSb2Cl)?
  -2.753 eV/atom